Entry 1:
Entry from Alexandria via LeMat-Bulk: a PBEsol-optimized structure of HoAlPt (meta-GGA SCAN).

Computed properties:
- space-group type = No. 62
- DFT total energy (eV per atom) = -43.729

Cell lengths 6.7924, 4.3513, 7.6747 Å; angles 90.00, 90.00, 90.00 degrees
Positions (direct):
Ho (0.0288, 0.2500, 0.1812)
Ho (0.4712, 0.7500, 0.6812)
Ho (0.5288, 0.2500, 0.3188)
Ho (0.9712, 0.7500, 0.8188)
Al (0.1451, 0.2500, 0.5640)
Al (0.3549, 0.7500, 0.0640)
Al (0.6451, 0.2500, 0.9360)
Al (0.8549, 0.7500, 0.4360)
Pt (0.2298, 0.7500, 0.3838)
Pt (0.2702, 0.2500, 0.8838)
Pt (0.7298, 0.7500, 0.1162)
Pt (0.7702, 0.2500, 0.6162)

Entry 2:
Entry from Alexandria via LeMat-Bulk: a PBEsol-optimized structure of HoAlRh (meta-GGA SCAN).

Computed properties:
- space-group type = No. 62
- DFT total energy (eV per atom) = -31.255

Cell lengths 6.7921, 4.0943, 7.9046 Å; angles 90.00, 90.00, 90.00 degrees
Positions (direct):
Ho (0.0383, 0.2500, 0.1794)
Ho (0.4617, 0.7500, 0.6794)
Ho (0.5383, 0.2500, 0.3206)
Ho (0.9617, 0.7500, 0.8206)
Al (0.1350, 0.2500, 0.5604)
Al (0.3650, 0.7500, 0.0604)
Al (0.6350, 0.2500, 0.9396)
Al (0.8650, 0.7500, 0.4396)
Rh (0.2382, 0.7500, 0.3777)
Rh (0.2618, 0.2500, 0.8777)
Rh (0.7382, 0.7500, 0.1223)
Rh (0.7618, 0.2500, 0.6223)

Entry 3:
Entry from Alexandria via LeMat-Bulk: a PBEsol-optimized structure of HoScAl2 (meta-GGA SCAN).

Computed properties:
- space-group type = No. 225
- DFT total energy (eV per atom) = -20.116

Cell lengths 4.8666, 4.8666, 4.8666 Å; angles 60.00, 60.00, 60.00 degrees
Positions (direct):
Ho (0.0000, 0.0000, 0.0000)
Sc (0.5000, 0.5000, 0.5000)
Al (0.2500, 0.2500, 0.2500)
Al (0.7500, 0.7500, 0.7500)

Entry 4:
Entry from Alexandria via LeMat-Bulk: a PBEsol-optimized structure of Ho12Al7Si (meta-GGA SCAN).

Computed properties:
- formation energy from raw total energies (eV per atom) = -0.4072
- space-group type = No. 140
- DFT total energy (eV per atom) = -33.014

Cell lengths 11.0298, 11.0298, 11.0298 Å; angles 117.53, 117.53, 94.34 degrees
Positions (direct):
Ho (0.0633, 0.9267, 0.2631)
Ho (0.0733, 0.3363, 0.1365)
Ho (0.1483, 0.6483, 0.5000)
Ho (0.1637, 0.4267, 0.8635)
Ho (0.1717, 0.3283, 0.5000)
Ho (0.1998, 0.9367, 0.8635)
Ho (0.3002, 0.1637, 0.7369)
Ho (0.3283, 0.8283, 0.1566)
Ho (0.3363, 0.1998, 0.2631)
Ho (0.3517, 0.8517, 0.5000)
Ho (0.4267, 0.5633, 0.2631)
Ho (0.4367, 0.6998, 0.8635)
Ho (0.5633, 0.3002, 0.1365)
Ho (0.5733, 0.4367, 0.7369)
Ho (0.6483, 0.1483, 0.5000)
Ho (0.6637, 0.8002, 0.7369)
Ho (0.6717, 0.1717, 0.8434)
Ho (0.6998, 0.8363, 0.2631)
Ho (0.8002, 0.0633, 0.1365)
Ho (0.8283, 0.6717, 0.5000)
Ho (0.8363, 0.5733, 0.1365)
Ho (0.8517, 0.3517, 0.5000)
Ho (0.9267, 0.6637, 0.8635)
Ho (0.9367, 0.0733, 0.7369)
Al (0.0000, 0.0000, 0.0000)
Al (0.0262, 0.8817, 0.5000)
Al (0.1183, 0.6183, 0.1445)
Al (0.1183, 0.6183, 0.7365)
Al (0.3817, 0.1183, 0.5000)
Al (0.3817, 0.5262, 0.5000)
Al (0.4738, 0.9738, 0.8555)
Al (0.5000, 0.5000, 0.0000)
Al (0.5262, 0.0262, 0.1445)
Al (0.6183, 0.4738, 0.5000)
Al (0.6183, 0.8817, 0.5000)
Al (0.8817, 0.3817, 0.2635)
Al (0.8817, 0.3817, 0.8555)
Al (0.9738, 0.1183, 0.5000)
Si (0.2500, 0.2500, 0.0000)
Si (0.7500, 0.7500, 0.0000)

Entry 5:
Entry from Alexandria via LeMat-Bulk: a PBEsol-optimized structure of TbHoAl4 (meta-GGA SCAN).

Computed properties:
- space-group type = No. 216
- DFT total energy (eV per atom) = -21.674

Cell lengths 5.5080, 5.5080, 5.5080 Å; angles 60.00, 60.00, 60.00 degrees
Positions (direct):
Tb (0.0000, 0.0000, 0.0000)
Ho (0.2500, 0.2500, 0.2500)
Al (0.1251, 0.6250, 0.6250)
Al (0.6250, 0.1251, 0.6250)
Al (0.6250, 0.6250, 0.1251)
Al (0.6250, 0.6250, 0.6250)

Entry 6:
Entry from Alexandria via LeMat-Bulk: a PBEsol-optimized structure of Ho6Ti4Al43 (meta-GGA SCAN).

Computed properties:
- space-group type = No. 193
- DFT total energy (eV per atom) = -13.400

Cell lengths 10.9628, 10.9628, 17.6880 Å; angles 90.00, 90.00, 120.00 degrees
Positions (direct):
Ho (0.0000, 0.4711, 0.0961)
Ho (0.0000, 0.4711, 0.4039)
Ho (0.0000, 0.5289, 0.5961)
Ho (0.0000, 0.5289, 0.9039)
Ho (0.4711, 0.0000, 0.0961)
Ho (0.4711, 0.0000, 0.4039)
Ho (0.4711, 0.4711, 0.5961)
Ho (0.4711, 0.4711, 0.9039)
Ho (0.5289, 0.0000, 0.5961)
Ho (0.5289, 0.0000, 0.9039)
Ho (0.5289, 0.5289, 0.0961)
Ho (0.5289, 0.5289, 0.4039)
Ti (0.0000, 0.0000, 0.0000)
Ti (0.0000, 0.0000, 0.5000)
Ti (0.0000, 0.2724, 0.2500)
Ti (0.0000, 0.7276, 0.7500)
Ti (0.2724, 0.0000, 0.2500)
Ti (0.2724, 0.2724, 0.7500)
Ti (0.7276, 0.0000, 0.7500)
Ti (0.7276, 0.7276, 0.2500)
Al (0.0000, 0.1472, 0.7500)
Al (0.0000, 0.1561, 0.1164)
Al (0.0000, 0.1561, 0.3836)
Al (0.0000, 0.2533, 0.5287)
Al (0.0000, 0.2533, 0.9713)
Al (0.0000, 0.7467, 0.0287)
Al (0.0000, 0.7467, 0.4713)
Al (0.0000, 0.8439, 0.6164)
Al (0.0000, 0.8439, 0.8836)
Al (0.0000, 0.8528, 0.2500)
Al (0.1472, 0.0000, 0.7500)
Al (0.1472, 0.1472, 0.2500)
Al (0.1493, 0.5532, 0.2500)
Al (0.1493, 0.5960, 0.7500)
Al (0.1561, 0.0000, 0.1164)
Al (0.1561, 0.0000, 0.3836)
Al (0.1561, 0.1561, 0.6164)
Al (0.1561, 0.1561, 0.8836)
Al (0.1593, 0.3936, 0.6632)
Al (0.1593, 0.3936, 0.8368)
Al (0.1593, 0.7658, 0.1632)
Al (0.1593, 0.7658, 0.3368)
Al (0.2342, 0.3936, 0.1632)
Al (0.2342, 0.3936, 0.3368)
Al (0.2342, 0.8407, 0.6632)
Al (0.2342, 0.8407, 0.8368)
Al (0.2473, 0.4947, 0.0000)
Al (0.2473, 0.4947, 0.5000)
Al (0.2473, 0.7527, 0.0000)
Al (0.2473, 0.7527, 0.5000)
Al (0.2533, 0.0000, 0.5287)
Al (0.2533, 0.0000, 0.9713)
Al (0.2533, 0.2533, 0.0287)
Al (0.2533, 0.2533, 0.4713)
Al (0.3333, 0.6667, 0.1255)
Al (0.3333, 0.6667, 0.3745)
Al (0.3333, 0.6667, 0.6255)
Al (0.3333, 0.6667, 0.8745)
Al (0.3936, 0.1593, 0.6632)
Al (0.3936, 0.1593, 0.8368)
Al (0.3936, 0.2342, 0.1632)
Al (0.3936, 0.2342, 0.3368)
Al (0.4040, 0.5532, 0.7500)
Al (0.4040, 0.8507, 0.2500)
Al (0.4468, 0.5960, 0.2500)
Al (0.4468, 0.8507, 0.7500)
Al (0.4947, 0.2473, 0.0000)
Al (0.4947, 0.2473, 0.5000)
Al (0.5053, 0.7527, 0.0000)
Al (0.5053, 0.7527, 0.5000)
Al (0.5532, 0.1493, 0.2500)
Al (0.5532, 0.4040, 0.7500)
Al (0.5960, 0.1493, 0.7500)
Al (0.5960, 0.4468, 0.2500)
Al (0.6064, 0.7658, 0.6632)
Al (0.6064, 0.7658, 0.8368)
Al (0.6064, 0.8407, 0.1632)
Al (0.6064, 0.8407, 0.3368)
Al (0.6667, 0.3333, 0.1255)
Al (0.6667, 0.3333, 0.3745)
Al (0.6667, 0.3333, 0.6255)
Al (0.6667, 0.3333, 0.8745)
Al (0.7467, 0.0000, 0.0287)
Al (0.7467, 0.0000, 0.4713)
Al (0.7467, 0.7467, 0.5287)
Al (0.7467, 0.7467, 0.9713)
Al (0.7527, 0.2473, 0.0000)
Al (0.7527, 0.2473, 0.5000)
Al (0.7527, 0.5053, 0.0000)
Al (0.7527, 0.5053, 0.5000)
Al (0.7658, 0.1593, 0.1632)
Al (0.7658, 0.1593, 0.3368)
Al (0.7658, 0.6064, 0.6632)
Al (0.7658, 0.6064, 0.8368)
Al (0.8407, 0.2342, 0.6632)
Al (0.8407, 0.2342, 0.8368)
Al (0.8407, 0.6064, 0.1632)
Al (0.8407, 0.6064, 0.3368)
Al (0.8439, 0.0000, 0.6164)
Al (0.8439, 0.0000, 0.8836)
Al (0.8439, 0.8439, 0.1164)
Al (0.8439, 0.8439, 0.3836)
Al (0.8507, 0.4040, 0.2500)
Al (0.8507, 0.4468, 0.7500)
Al (0.8528, 0.0000, 0.2500)
Al (0.8528, 0.8528, 0.7500)

Entry 7:
Entry from Alexandria via LeMat-Bulk: a PBEsol-optimized structure of HoTmAl2 (meta-GGA SCAN).

Computed properties:
- space-group type = No. 225
- DFT total energy (eV per atom) = -29.496

Cell lengths 4.9797, 4.9797, 4.9797 Å; angles 60.00, 60.00, 60.00 degrees
Positions (direct):
Ho (0.0000, 0.0000, 0.0000)
Tm (0.5000, 0.5000, 0.5000)
Al (0.2500, 0.2500, 0.2500)
Al (0.7500, 0.7500, 0.7500)

Entry 8:
Entry from Alexandria via LeMat-Bulk: a PBEsol-optimized structure of YHoAl2 (meta-GGA SCAN).

Computed properties:
- space-group type = No. 225
- DFT total energy (eV per atom) = -23.514

Cell lengths 5.0171, 5.0171, 5.0171 Å; angles 60.00, 60.00, 60.00 degrees
Positions (direct):
Y (0.0000, 0.0000, 0.0000)
Ho (0.5000, 0.5000, 0.5000)
Al (0.2500, 0.2500, 0.2500)
Al (0.7500, 0.7500, 0.7500)

The lowest DFT total energy belongs to which entry? HoAlPt

The highest DFT total energy belongs to which entry? Ho6Ti4Al43